[1]
Below is a relaxed LaReTe2N crystal, with properties calculated at the PBE-GGA level.

Results
**Energy relative to the lowest polymorph listed for this composition**: 1.618 eV/atom
**Calculated volume**: 31.60 Å³ per atom
**Formation energy from raw total energies**: 6.21 eV/f.u.
**Symmetry**: P4/mmm (123)
**N(E_F)**: 0.68 states/eV per atom

Cell: 6.257 6.257 4.036 Å, 90.00 90.00 90.00°
Last column: magnetic moment on the atom in μB.
Fractional coordinates of all 5 atoms:
Te 0.500 0.000 0.000  0.20
Te 0.000 0.500 0.000  0.20
N 0.000 0.000 0.500  0.11
Re 0.500 0.500 0.500  -3.81
La 0.000 0.000 0.000  0.06

=====

[2]
Below is a relaxed Ca5SnHg6 crystal, with properties calculated at the PBE-GGA level.

Results
**Energy of formation**: -0.50 eV/atom
**Calculated volume**: 26.70 Å³ per atom
**Symmetry**: Immm (71)
**N(E_F)**: 0.52 states/eV per atom

Cell: 5.245 9.220 9.220 Å, 119.48 106.53 106.53°
Fractional coordinates of all 12 atoms:
Hg 0.746 0.577 0.914
Hg 0.254 0.423 0.086
Hg 0.746 0.914 0.577
Hg 0.254 0.086 0.423
Hg 0.241 0.741 0.741
Hg 0.759 0.259 0.259
Ca 0.000 0.670 0.330
Ca 0.500 0.160 0.840
Ca 0.500 0.840 0.160
Ca 0.500 0.500 0.500
Ca 0.000 0.330 0.670
Sn 0.000 0.000 0.000

=====

[3]
Below is a relaxed PrNd3O6 crystal, with properties calculated at the PBE-GGA level.

Results
**Calculated volume**: 17.66 Å³ per atom
**Formation energy from raw total energies**: -33.20 eV/f.u.
**Symmetry**: R-3 (148)
**N(E_F)**: 0.00 states/eV per atom

Cell: 7.072 7.072 7.072 Å, 91.45 91.45 91.45°
Fractional coordinates of all 20 atoms:
Nd 0.553 0.061 0.251
Nd 0.251 0.553 0.061
Nd 0.749 0.447 0.939
Nd 0.061 0.251 0.553
Nd 0.447 0.939 0.749
Nd 0.939 0.749 0.447
Pr 0.500 0.500 0.500
Pr 0.000 0.000 0.000
O 0.820 0.474 0.604
O 0.099 0.931 0.682
O 0.474 0.604 0.820
O 0.318 0.901 0.069
O 0.069 0.318 0.901
O 0.682 0.099 0.931
O 0.931 0.682 0.099
O 0.180 0.526 0.396
O 0.396 0.180 0.526
O 0.526 0.396 0.180
O 0.901 0.069 0.318
O 0.604 0.820 0.474

=====

[4]
Below is a relaxed KLaIn2 crystal, with properties calculated at the PBE-GGA level.

Results
**Energy relative to the lowest polymorph listed for this composition**: 0.181 eV/atom
**Energy of formation**: -0.07 eV/atom
**Calculated volume**: 37.08 Å³ per atom
**Symmetry**: C2/m (12)
**N(E_F)**: 0.87 states/eV per atom

Cell: 5.584 5.584 8.076 Å, 83.13 83.13 36.43°
Fractional coordinates of all 4 atoms:
K 0.750 0.750 0.750
In 0.998 0.998 0.055
In 0.502 0.502 0.445
La 0.250 0.250 0.250

=====

[5]
Below is a relaxed HfAlHg crystal, with properties calculated at the PBE-GGA level.

Results
**Energy relative to the lowest polymorph listed for this composition**: 0.009 eV/atom
**Energy of formation**: -0.14 eV/atom
**Calculated volume**: 19.70 Å³ per atom
**Symmetry**: C2/m (12)
**N(E_F)**: 0.65 states/eV per atom

Cell: 4.457 3.137 12.410 Å, 75.49 79.66 44.73°
Fractional coordinates of all 6 atoms:
Al 0.251 0.067 0.431
Al 0.749 0.933 0.569
Hf 0.248 0.782 0.722
Hf 0.752 0.218 0.278
Hg 0.746 0.604 0.904
Hg 0.254 0.396 0.096

=====

[6]
Below is a relaxed Ac8BiTe3Pb4 crystal, with properties calculated at the PBE-GGA level.

Results
**Calculated volume**: 40.07 Å³ per atom
**Formation energy from raw total energies**: -15.45 eV/f.u.
**Symmetry**: R-3m (166)
**N(E_F)**: 0.63 states/eV per atom

Cell: 9.636 9.722 9.636 Å, 119.71 120.00 90.00°
Fractional coordinates of all 16 atoms:
Ac 0.749 0.245 0.498
Ac 0.251 0.755 0.502
Ac 0.753 0.760 0.506
Ac 0.246 0.245 0.996
Ac 0.251 0.755 0.004
Ac 0.754 0.755 0.004
Ac 0.247 0.240 0.494
Ac 0.749 0.245 0.996
Pb 0.500 0.000 0.500
Pb 0.000 0.000 0.500
Pb 0.500 0.000 0.000
Pb 0.000 0.000 0.000
Te 0.500 0.500 0.000
Te 0.000 0.500 0.500
Te 0.500 0.500 0.500
Bi 0.000 0.500 0.000

=====

[7]
Below is a relaxed SbWCl2 crystal, with properties calculated at the PBE-GGA level.

Results
**Energy relative to the lowest polymorph listed for this composition**: 0.306 eV/atom
**Calculated volume**: 26.90 Å³ per atom
**Formation energy from raw total energies**: 0.70 eV/f.u.
**Symmetry**: Imm2 (44)
**N(E_F)**: 0.36 states/eV per atom

Cell: 8.127 8.127 8.127 Å, 158.96 145.99 40.34°
Fractional coordinates of all 4 atoms:
W 0.242 0.742 0.500
Sb 0.399 0.399 0.000
Cl 0.743 0.243 0.500
Cl 0.116 0.116 0.000

=====

[8]
Below is a relaxed Ho3UTl3S8 crystal, with properties calculated at the PBE-GGA level.

Results
**Calculated volume**: 27.99 Å³ per atom
**Formation energy from raw total energies**: -21.97 eV/f.u.
**Symmetry**: R-3m (166)
**N(E_F)**: 0.41 states/eV per atom

Cell: 7.996 7.994 8.881 Å, 116.77 90.00 120.01°
Last column: magnetic moment on the atom in μB.
Fractional coordinates of all 15 atoms:
U 0.000 0.000 0.500  1.96
S 0.268 0.536 0.305  0.00
S 0.264 0.036 0.307  -0.03
S 0.736 0.964 0.693  -0.03
S 0.771 0.036 0.307  -0.03
S 0.732 0.464 0.695  0.00
S 0.229 0.457 0.693  -0.03
S 0.229 0.964 0.693  -0.03
S 0.771 0.543 0.307  -0.03
Tl 0.000 0.500 0.000  0.00
Tl 0.500 0.500 0.000  0.00
Tl 0.000 0.000 0.000  0.00
Ho 0.000 0.500 0.500  0.02
Ho 0.500 0.500 0.500  0.02
Ho 0.500 0.000 0.500  0.02

=====

[9]
Below is a relaxed LiPrGa2Pd5 crystal, with properties calculated at the PBE-GGA level.

Results
**Energy of formation**: -0.60 eV/atom
**Calculated volume**: 18.47 Å³ per atom
**Symmetry**: P4/mmm (123)
**N(E_F)**: 0.31 states/eV per atom

Cell: 4.175 4.175 9.536 Å, 90.00 90.00 90.00°
Fractional coordinates of all 9 atoms:
Pr 0.000 0.000 0.500
Ga 0.500 0.500 0.131
Ga 0.500 0.500 0.869
Pd 0.000 0.500 0.728
Pd 0.500 0.000 0.272
Pd 0.000 0.500 0.272
Pd 0.500 0.000 0.728
Pd 0.500 0.500 0.500
Li 0.000 0.000 0.000

=====

[10]
Below is a relaxed Tm11In9Ag4 crystal, with properties calculated at the PBE-GGA level.

Results
**Energy of formation**: -0.42 eV/atom
**Calculated volume**: 24.64 Å³ per atom
**Symmetry**: Cmmm (65)
**N(E_F)**: 0.59 states/eV per atom

Cell: 3.675 13.222 13.222 Å, 113.02 90.00 90.00°
Fractional coordinates of all 24 atoms:
In 0.500 0.786 0.932
In 0.500 0.068 0.214
In 0.500 0.500 0.500
In 0.500 0.155 0.632
In 0.500 0.932 0.786
In 0.500 0.214 0.068
In 0.500 0.632 0.155
In 0.500 0.368 0.845
In 0.500 0.845 0.368
Tm 0.000 0.840 0.160
Tm 0.000 0.064 0.411
Tm 0.000 0.368 0.632
Tm 0.000 0.411 0.064
Tm 0.000 0.936 0.589
Tm 0.000 0.632 0.368
Tm 0.000 0.699 0.699
Tm 0.000 0.160 0.840
Tm 0.000 0.589 0.936
Tm 0.000 0.000 0.000
Tm 0.000 0.301 0.301
Ag 0.500 0.552 0.752
Ag 0.500 0.752 0.552
Ag 0.500 0.248 0.448
Ag 0.500 0.448 0.248

=====

[11]
Below is a relaxed In2SiPt crystal, with properties calculated at the PBE-GGA level.

Results
**Calculated volume**: 19.55 Å³ per atom
**Formation energy from raw total energies**: 0.58 eV/f.u.
**Symmetry**: I-4m2 (119)
**N(E_F)**: 0.49 states/eV per atom

Cell: 5.231 5.231 5.231 Å, 131.69 131.69 70.71°
Fractional coordinates of all 4 atoms:
In 0.250 0.750 0.500
In 0.000 0.000 0.000
Si 0.750 0.250 0.500
Pt 0.500 0.500 0.000

=====

[12]
Below is a relaxed NiMoC crystal, with properties calculated at the PBE-GGA level.

Results
**Energy relative to the lowest polymorph listed for this composition**: 0.027 eV/atom
**Energy of formation**: 0.08 eV/atom
**Calculated volume**: 11.11 Å³ per atom
**Symmetry**: Cmcm (63)
**N(E_F)**: 0.36 states/eV per atom

Cell: 3.077 10.118 4.284 Å, 90.00 90.00 90.00°
Fractional coordinates of all 12 atoms:
Ni 0.500 0.939 0.750
Ni 0.000 0.561 0.250
Ni 0.500 0.061 0.250
Ni 0.000 0.439 0.750
Mo 0.000 0.817 0.250
Mo 0.000 0.183 0.750
Mo 0.500 0.317 0.250
Mo 0.500 0.683 0.750
C 0.000 0.171 0.250
C 0.000 0.829 0.750
C 0.500 0.329 0.750
C 0.500 0.671 0.250

=====

What did the second record say?
Below is a relaxed Ca5SnHg6 crystal, with properties calculated at the PBE-GGA level.

Results
**Energy of formation**: -0.50 eV/atom
**Calculated volume**: 26.70 Å³ per atom
**Symmetry**: Immm (71)
**N(E_F)**: 0.52 states/eV per atom

Cell: 5.245 9.220 9.220 Å, 119.48 106.53 106.53°
Fractional coordinates of all 12 atoms:
Hg 0.746 0.577 0.914
Hg 0.254 0.423 0.086
Hg 0.746 0.914 0.577
Hg 0.254 0.086 0.423
Hg 0.241 0.741 0.741
Hg 0.759 0.259 0.259
Ca 0.000 0.670 0.330
Ca 0.500 0.160 0.840
Ca 0.500 0.840 0.160
Ca 0.500 0.500 0.500
Ca 0.000 0.330 0.670
Sn 0.000 0.000 0.000